This record from the Alexandria database describes an optimized crystal structure of MgAsIr3. The functional is PBE.

Computed properties:
The energy relative to the elements is 1.638 eV/atom. The value obtained for the distance to the lowest polymorph of the same formula is 1006 meV per atom. The magnetization comes out at 0.00 μB per formula unit.

Geometry as extended XYZ:
```
5
Lattice="-1.9319 3.9440 1.0884 -0.8661 -1.5706 4.1539 3.9987 1.5653 1.4255" Properties=species:S:1:pos:R:3 pbc="T T T"
Ir -0.9659 1.9720 0.5442
Ir 1.9994 0.7826 0.7128
Ir -0.4330 -0.7853 2.0770
Mg 0.0000 0.0000 0.0000
As 0.6004 1.9693 3.3340
```